a | A relaxed MoIr2Pt crystal, computed with GGA-PBE.

The structure in CIF format:
```
data_MoIr2Pt
_cell_length_a 2.7679
_cell_length_b 2.7679
_cell_length_c 27.3545
_cell_angle_alpha 90.00
_cell_angle_beta 90.00
_cell_angle_gamma 120.00
_space_group_name_H-M_alt 'R -3 m'
_space_group_IT_number 166
_space_group_name_Hall '-R 3 2"'
loop_
_atom_site_label
_atom_site_type_symbol
_atom_site_fract_x
_atom_site_fract_y
_atom_site_fract_z
_atom_site_occupancy
Mo1 Mo 0.0000 0.0000 0.0000 1
Ir1 Ir 0.0000 0.0000 0.2536 1
Pt1 Pt 0.0000 0.0000 0.5000 1
```


b | A relaxed MoIr2Pt crystal, computed with GGA-PBE.

The structure in CIF format:
```
data_MoIr2Pt
_cell_length_a 2.761
_cell_length_b 3.913
_cell_length_c 5.561
_cell_angle_alpha 90.00
_cell_angle_beta 90.00
_cell_angle_gamma 90.00
_space_group_name_H-M_alt 'P m m m'
_space_group_IT_number 47
_space_group_name_Hall '-P 2 2'
loop_
_atom_site_label
_atom_site_type_symbol
_atom_site_fract_x
_atom_site_fract_y
_atom_site_fract_z
_atom_site_occupancy
Mo1 Mo 0.000 0.000 0.000 1
Ir1 Ir 0.500 0.500 0.244 1
Pt1 Pt 0.000 0.000 0.500 1
```


Relative energies, in eV/atom, with the most stable structure set to zero: a 0.069; b 0.000.


a | A relaxed MoIr2Pt crystal, computed with GGA-PBE.

The structure in CIF format:
```
data_MoIr2Pt
_cell_length_a 2.7615
_cell_length_b 2.7615
_cell_length_c 27.3567
_cell_angle_alpha 90.00
_cell_angle_beta 90.00
_cell_angle_gamma 120.00
_space_group_name_H-M_alt 'R 3 m'
_space_group_IT_number 160
_space_group_name_Hall 'R 3 -2"'
loop_
_atom_site_label
_atom_site_type_symbol
_atom_site_fract_x
_atom_site_fract_y
_atom_site_fract_z
_atom_site_occupancy
Mo1 Mo 0.0000 0.0000 0.0000 1
Ir1 Ir 0.0000 0.0000 0.2526 1
Ir2 Ir 0.0000 0.0000 0.5032 1
Pt1 Pt 0.0000 0.0000 0.7505 1
```


b | A relaxed MoIr2Pt crystal, computed with GGA-PBE.

The structure in CIF format:
```
data_MoIr2Pt
_cell_length_a 5.559
_cell_length_b 7.786
_cell_length_c 2.773
_cell_angle_alpha 90.00
_cell_angle_beta 90.00
_cell_angle_gamma 90.00
_space_group_name_H-M_alt 'C m m m'
_space_group_IT_number 65
_space_group_name_Hall '-C 2 2'
loop_
_atom_site_label
_atom_site_type_symbol
_atom_site_fract_x
_atom_site_fract_y
_atom_site_fract_z
_atom_site_occupancy
Mo1 Mo 0.000 0.000 0.000 1
Ir1 Ir 0.250 0.250 0.500 1
Pt1 Pt 0.000 0.500 0.000 1
```


Relative energies, in eV/atom, with the most stable structure set to zero: a 0.059; b 0.000.


a | A relaxed Mo2Ir2Pt crystal, computed with GGA-PBE.

The structure in CIF format:
```
data_Mo2Ir2Pt
_cell_length_a 9.343
_cell_length_b 4.854
_cell_length_c 7.167
_cell_angle_alpha 90.00
_cell_angle_beta 111.30
_cell_angle_gamma 90.00
_space_group_name_H-M_alt 'C 1 2/c 1'
_space_group_IT_number 15
_space_group_name_Hall '-C 2yc'
loop_
_atom_site_label
_atom_site_type_symbol
_atom_site_fract_x
_atom_site_fract_y
_atom_site_fract_z
_atom_site_occupancy
Mo1 Mo 0.106 0.162 0.464 1
Ir1 Ir 0.196 0.326 0.149 1
Pt1 Pt 0.000 0.334 0.750 1
```


b | A relaxed Mo2Ir2Pt crystal, computed with GGA-PBE.

The structure in CIF format:
```
data_Mo2Ir2Pt
_cell_length_a 7.548
_cell_length_b 7.548
_cell_length_c 2.791
_cell_angle_alpha 90.00
_cell_angle_beta 90.00
_cell_angle_gamma 90.00
_space_group_name_H-M_alt 'P 4/m b m'
_space_group_IT_number 127
_space_group_name_Hall '-P 4 2ab'
loop_
_atom_site_label
_atom_site_type_symbol
_atom_site_fract_x
_atom_site_fract_y
_atom_site_fract_z
_atom_site_occupancy
Mo1 Mo 0.168 0.332 0.000 1
Ir1 Ir 0.127 0.627 0.500 1
Pt1 Pt 0.000 0.000 0.500 1
```


Relative energies, in eV/atom, with the most stable structure set to zero: a 0.000; b 0.117.


a | A relaxed RbMoIr2 crystal, computed with GGA-PBE.

The structure in CIF format:
```
data_RbMoIr2
_cell_length_a 6.635
_cell_length_b 6.635
_cell_length_c 6.635
_cell_angle_alpha 90.00
_cell_angle_beta 90.00
_cell_angle_gamma 90.00
_space_group_name_H-M_alt 'F m -3 m'
_space_group_IT_number 225
_space_group_name_Hall '-F 4 2 3'
loop_
_atom_site_label
_atom_site_type_symbol
_atom_site_fract_x
_atom_site_fract_y
_atom_site_fract_z
_atom_site_occupancy
Rb1 Rb 0.000 0.000 0.000 1
Mo1 Mo 0.000 0.000 0.500 1
Ir1 Ir 0.250 0.250 0.250 1
```


b | A relaxed RbMoIr2 crystal, computed with GGA-PBE.

The structure in CIF format:
```
data_RbMoIr2
_cell_length_a 7.492
_cell_length_b 7.492
_cell_length_c 7.385
_cell_angle_alpha 90.00
_cell_angle_beta 90.00
_cell_angle_gamma 90.00
_space_group_name_H-M_alt 'I -4 2 d'
_space_group_IT_number 122
_space_group_name_Hall 'I -4 2bw'
loop_
_atom_site_label
_atom_site_type_symbol
_atom_site_fract_x
_atom_site_fract_y
_atom_site_fract_z
_atom_site_occupancy
Rb1 Rb 0.000 0.000 0.000 1
Mo1 Mo 0.000 0.000 0.500 1
Ir1 Ir 0.159 0.250 0.625 1
```


Relative energies, in eV/atom, with the most stable structure set to zero: a 0.344; b 0.000.